<w>
8
Lattice="4.186 0.000 0.000 0.000 4.186 0.000 0.000 0.000 10.111" Properties=species:S:1:pos:R:3 comment="TlFeHg2 (PBE, relaxed)" space_group=I4/mmm magnetic_moment_mub_per_atom=0.74 vol_a3_per_cell=177 pbc="T T T"
Tl 0.000 0.000 0.000
Tl 2.093 2.093 5.055
Fe 0.000 0.000 5.055
Fe 2.093 2.093 0.000
Hg 0.000 2.093 2.528
Hg 0.000 2.093 7.583
Hg 2.093 0.000 2.528
Hg 2.093 0.000 7.583

***

<x>
16
Lattice="4.118 0.000 0.000 0.000 4.118 0.000 0.000 0.000 20.920" Properties=species:S:1:pos:R:3 comment="TlFeHg2 (PBE, relaxed)" space_group=I-42d magnetic_moment_mub_per_atom=0.05 vol_a3_per_cell=355 pbc="T T T"
Tl 0.000 0.000 0.000
Tl 0.000 2.059 5.230
Tl 2.059 0.000 15.690
Tl 2.059 2.059 10.460
Fe 0.000 0.000 10.460
Fe 0.000 2.059 15.690
Fe 2.059 0.000 5.230
Fe 2.059 2.059 0.000
Hg 0.954 1.030 13.075
Hg 1.030 3.013 18.305
Hg 1.030 3.165 7.845
Hg 1.105 1.030 2.615
Hg 3.013 3.089 2.615
Hg 3.089 0.954 7.845
Hg 3.089 1.105 18.305
Hg 3.165 3.089 13.075

***

<y>
12
Lattice="3.245 0.000 0.000 -1.623 2.811 0.000 0.000 0.000 29.409" Properties=species:S:1:pos:R:3 comment="TlFeHg2 (PBE, relaxed)" space_group=R3m magnetic_moment_mub_per_atom=0.74 vol_a3_per_cell=268 pbc="T T T"
Tl 0.000 0.000 0.000
Tl 0.000 1.874 19.606
Tl 1.623 0.937 9.803
Fe 0.000 0.000 7.595
Fe 0.000 1.874 27.201
Fe 1.623 0.937 17.398
Hg 0.000 0.000 15.332
Hg 0.000 0.000 22.400
Hg 0.000 1.874 5.529
Hg 0.000 1.874 12.597
Hg 1.623 0.937 2.793
Hg 1.623 0.937 25.135

***

How far above the most stable structure does each one sit? In meV/atom: <w> 89; <x> 349; <y> 0.

***

<w>
4
Lattice="3.523 0.000 0.000 0.000 4.652 0.000 -1.452 0.000 5.572" Properties=species:S:1:pos:R:3 comment="TlFeHg2 (PBE, relaxed)" space_group=P2/m magnetic_moment_mub_per_atom=0.73 vol_a3_per_cell=91 pbc="T T T"
Tl 0.000 0.000 0.000
Fe -0.726 0.000 2.786
Hg 0.222 2.326 4.022
Hg 1.850 2.326 1.550

***

<x>
4
Lattice="3.196 0.000 0.000 0.000 5.269 0.000 0.000 0.000 5.319" Properties=species:S:1:pos:R:3 comment="TlFeHg2 (PBE, relaxed)" space_group=Pmmm magnetic_moment_mub_per_atom=0.74 vol_a3_per_cell=90 pbc="T T T"
Tl 0.000 0.000 0.000
Fe 1.598 0.000 2.660
Hg 0.000 2.635 2.660
Hg 1.598 2.635 0.000

***

<y>
8
Lattice="13.011 0.000 0.000 0.000 3.041 0.000 -1.787 0.000 4.543" Properties=species:S:1:pos:R:3 comment="TlFeHg2 (PBE, relaxed)" space_group=C2/m magnetic_moment_mub_per_atom=0.67 vol_a3_per_cell=180 pbc="T T T"
Tl 0.000 0.000 0.000
Tl 6.506 1.521 0.000
Fe -0.893 1.521 2.272
Fe 5.612 0.000 2.272
Hg 1.277 0.000 3.156
Hg 3.442 1.521 1.387
Hg 7.783 1.521 3.156
Hg 9.947 0.000 1.387

***

<z>
8
Lattice="4.298 0.000 0.000 0.000 4.298 0.000 0.000 0.000 9.570" Properties=species:S:1:pos:R:3 comment="TlFeHg2 (PBE, relaxed)" space_group=I-4m2 magnetic_moment_mub_per_atom=0.74 vol_a3_per_cell=177 pbc="T T T"
Tl 0.000 0.000 0.000
Tl 2.149 2.149 4.785
Fe 0.000 2.149 7.177
Fe 2.149 0.000 2.392
Hg 0.000 0.000 4.785
Hg 0.000 2.149 2.392
Hg 2.149 0.000 7.177
Hg 2.149 2.149 0.000

***

How far above the most stable structure does each one sit? In meV/atom: <w> 95; <x> 154; <y> 0; <z> 179.

***

<w>
10
Lattice="8.344 0.000 0.000 0.000 8.344 0.000 0.000 0.000 2.902" Properties=species:S:1:pos:R:3 comment="TlFe2Hg2 (PBE, relaxed)" space_group=P4/mbm magnetic_moment_mub_per_atom=1.10 vol_a3_per_cell=202 pbc="T T T"
Tl 0.000 0.000 0.000
Tl 4.172 4.172 0.000
Fe 0.841 3.331 1.451
Fe 3.331 7.503 1.451
Fe 5.013 0.841 1.451
Fe 7.503 5.013 1.451
Hg 1.561 5.733 0.000
Hg 2.611 1.561 0.000
Hg 5.733 6.782 0.000
Hg 6.782 2.611 0.000

***

<x>
10
Lattice="3.379 0.000 0.000 0.000 3.379 0.000 0.000 0.000 18.777" Properties=species:S:1:pos:R:3 comment="TlFe2Hg2 (PBE, relaxed)" space_group=I4/mmm magnetic_moment_mub_per_atom=1.04 vol_a3_per_cell=214 pbc="T T T"
Tl 0.000 0.000 0.000
Tl 1.690 1.690 9.388
Fe 0.000 1.690 4.694
Fe 0.000 1.690 14.083
Fe 1.690 0.000 4.694
Fe 1.690 0.000 14.083
Hg 0.000 0.000 6.974
Hg 0.000 0.000 11.803
Hg 1.690 1.690 2.415
Hg 1.690 1.690 16.362

***

How far above the most stable structure does each one sit? In meV/atom: <w> 90; <x> 0.